La2Ga12Au | PBE | optimized geometry

The calculation puts the volume at 20.52 Å³/atom. The value obtained for the total energy is -110.87 eV for the cell shown. The theoretical density comes out at 7.1 g/cm³. For the formation enthalpy at 0 K, the calculation gives -6.0 eV per formula unit.

Cell: 6.2951 6.2951 15.5349 Å, 90.00 90.00 90.00°
With the nearest neighbours (Å) after each atom.
Space group P4/nbm (No. 125, origin choice 2)
Asymmetric unit:
1 La 0.2500 0.7500 0.2471 [4 per cell]  14 Ga 3.24-3.50
2 Ga 0.0002 0.9998 0.0922 [8 per cell]  2 Au 2.65, 3 Ga 2.65-2.87
3 Ga 0.0775 0.5775 0.4308 [8 per cell]  3 Ga 2.55-2.68
4 Ga 0.2500 0.2500 0.1845 [4 per cell]  5 Ga 2.50-2.65
5 Ga 0.2500 0.2500 0.3453 [4 per cell]  5 Ga 2.50-2.68
6 Au 0.2500 0.7500 0.0000 [2 per cell]  8 Ga 2.65

---

Li2LaGaAu4 | PBE | optimized geometry

The calculation puts the volume at 19.57 Å³/atom. The value obtained for the total energy is -88.57 eV for the cell shown. The theoretical density comes out at 10.7 g/cm³. For the formation enthalpy at 0 K, the calculation gives -4.6 eV per formula unit.

Cell: 4.4970 4.4970 26.8180 Å, 90.00 90.00 120.00°
With the nearest neighbours (Å) after each atom.
Space group R-3m (No. 166, hexagonal axes)
Asymmetric unit:
1 Li 0.0000 0.0000 0.2345 [6 per cell]  7 Au 2.72-2.84
2 La 0.0000 0.0000 0.0000 [3 per cell]  8 Au 3.15-3.45
3 Ga 0.0000 0.0000 0.5000 [3 per cell]  8 Au 2.69-2.79
4 Au 0.0000 0.0000 0.1286 [6 per cell]  4 Li 2.72-2.84, 3 Ga 2.79
5 Au 0.0000 0.0000 0.3999 [6 per cell]  1 Ga 2.69, 3 Li 2.74

---

LiLaGa2Au | PBE | optimized geometry

The calculation puts the volume at 20.81 Å³/atom. The value obtained for the total energy is -38.21 eV for the cell shown. The theoretical density comes out at 7.7 g/cm³. For the formation enthalpy at 0 K, the calculation gives -2.9 eV per formula unit.

Cell: 4.4336 4.4336 10.5881 Å, 90.00 90.00 90.00°
With the nearest neighbours (Å) after each atom.
Space group I-4m2 (No. 119)
Asymmetric unit:
1 Li 0.0000 0.0000 0.0000 [2 per cell]  4 Ga 2.63
2 La 0.0000 0.5000 0.7500 [2 per cell]  8 Ga 3.37, 4 Li 3.45, 4 Au 3.45
3 Ga 0.0000 0.5000 0.1329 [4 per cell]  1 Ga 2.48, 2 Li 2.63, 2 Au 2.63
4 Au 0.0000 0.0000 0.5000 [2 per cell]  4 Ga 2.63

---

LiLaGa2Au4 | PBE | optimized geometry

The calculation puts the volume at 19.47 Å³/atom. The value obtained for the total energy is -91.59 eV for the cell shown. The theoretical density comes out at 11.4 g/cm³. For the formation enthalpy at 0 K, the calculation gives -4.5 eV per formula unit.

Cell: 4.5495 4.5495 26.0627 Å, 90.00 90.00 120.00°
With the nearest neighbours (Å) after each atom.
Space group R-3m (No. 166, hexagonal axes)
Asymmetric unit:
1 Li 0.0000 0.0000 0.0000 [3 per cell]  8 Au 2.62-2.75
2 La 0.0000 0.0000 0.5000 [3 per cell]  8 Au 3.14-3.51
3 Ga 0.0000 0.0000 0.2591 [6 per cell]  7 Au 2.71-2.85
4 Au 0.0000 0.0000 0.1005 [6 per cell]  1 Li 2.62, 3 Ga 2.71
5 Au 0.0000 0.0000 0.3652 [6 per cell]  3 Li 2.75, 4 Ga 2.77-2.85